LiIn2Pb: optimized geometry, PBEsol.

Output
- density of states at the Fermi level (states/eV/f.u.) = 1.62
- theoretical density (g/cm³) = 7.58
- E_form (eV/f.u.) = -0.5
- energy (eV/atom) = -3.102

Cell: 5.308 5.308 5.849 Å, 99.57 99.57 36.81°
Sites, in units of the cell vectors:
Li 0.000 0.000 0.000
In 0.494 0.494 0.474
In 0.741 0.741 0.237
Pb 0.252 0.252 0.760

=====

LiIn2Pb: optimized geometry, PBEsol.

Output
- density of states at the Fermi level (states/eV/f.u.) = 1.95
- theoretical density (g/cm³) = 7.76
- E_form (eV/f.u.) = -0.5
- energy (eV/atom) = -3.096

Cell: 3.265 3.265 8.908 Å, 90.00 90.00 90.00°
Sites, in units of the cell vectors:
Li 0.000 0.000 0.000
In 0.000 0.000 0.475
In 0.500 0.500 0.208
Pb 0.500 0.500 0.772

=====

LiInPb2: optimized geometry, PBEsol.

Output
- density of states at the Fermi level (states/eV/f.u.) = 1.69
- theoretical density (g/cm³) = 8.46
- E_form (eV/f.u.) = -0.3
- energy (eV/atom) = -3.304

Cell: 3.339 5.377 5.862 Å, 90.00 91.40 90.00°
Sites, in units of the cell vectors:
Li 0.000 0.000 0.000
In 0.500 0.000 0.500
Pb 0.258 0.500 0.753
Pb 0.742 0.500 0.247

=====

LiInPb2: optimized geometry, PBEsol.

Output
- density of states at the Fermi level (states/eV/f.u.) = 1.72
- theoretical density (g/cm³) = 8.59
- E_form (eV/f.u.) = -0.5
- energy (eV/atom) = -3.351

Cell: 5.717 5.717 3.375 Å, 90.00 90.00 109.95°
Sites, in units of the cell vectors:
Li 0.000 0.000 0.000
In 0.500 0.500 0.000
Pb 0.000 0.500 0.500
Pb 0.500 0.000 0.500

=====

LiIn2Pb: optimized geometry, PBEsol.

Output
- density of states at the Fermi level (states/eV/f.u.) = 1.42
- theoretical density (g/cm³) = 7.76
- E_form (eV/f.u.) = -0.5
- energy (eV/atom) = -3.108

Cell: 3.263 3.263 8.923 Å, 90.00 90.00 90.00°
Sites, in units of the cell vectors:
Li 0.000 0.000 0.000
In 0.500 0.500 0.214
In 0.500 0.500 0.786
Pb 0.000 0.000 0.500

=====

LiInPb2: optimized geometry, PBEsol.

Output
- density of states at the Fermi level (states/eV/f.u.) = 1.78
- theoretical density (g/cm³) = 8.76
- E_form (eV/f.u.) = -0.4
- energy (eV/atom) = -3.343

Cell: 6.208 6.208 6.208 Å, 145.99 129.93 61.92°
Sites, in units of the cell vectors:
Li 0.000 0.000 0.000
In 0.225 0.725 0.500
Pb 0.491 0.491 0.000
Pb 0.764 0.264 0.500

=====

no.,M_tot (Bohr magnetons per cell)
1,0.0
2,0.0
3,0.0
4,0.0
5,0.0
6,0.0